<a>
Below is Ag2IrCl after structural relaxation, with properties calculated at the GGA-PBE level.

Results
Crystal system: orthorhombic

abc: 2.9399 3.8926 6.2913
angles: 90.00 90.00 90.00
With the nearest neighbours (Å) after each atom.
Space group Pmm2 (No. 25)
One atom of each set of equivalent atoms:
Ag 0.0000 0.0000 0.0000  4 Ir 2.77, 6 Ag 2.92-2.94, 1 Cl 3.02
Ag 0.5000 0.5000 0.2565  1 Ir 2.92, 6 Ag 2.92-2.94, 4 Cl 2.95
Ir 0.5000 0.5000 0.7926  5 Ag 2.77-2.92, 2 Ir 2.94, 4 Cl 2.98
Cl 0.0000 0.0000 0.5203  2 Cl 2.94, 6 Ag 2.95-3.27, 4 Ir 2.98



<b>
Below is Ag2IrCl after structural relaxation, with properties calculated at the GGA-PBE level.

Results
Crystal system: orthorhombic

abc: 3.0246 5.0430 9.0782
angles: 90.00 90.00 90.00
With the nearest neighbours (Å) after each atom.
Space group Cmmm (No. 65)
One atom of each set of equivalent atoms:
Ag 0.0000 0.0000 0.2458  2 Cl 2.70, 2 Ir 2.76, 4 Ag 2.94
Ir 0.0000 0.5000 0.5000  4 Ag 2.76, 6 Ir 2.94-3.02
Cl 0.0000 0.5000 0.0000  4 Ag 2.70, 4 Cl 2.94



<c>
Below is Ag2IrCl after structural relaxation, with properties calculated at the GGA-PBE level.

Results
Crystal system: orthorhombic

abc: 5.4888 8.9158 2.8307
angles: 90.00 90.00 90.00
With the nearest neighbours (Å) after each atom.
Space group Cmmm (No. 65)
One atom of each set of equivalent atoms:
Ag 0.2500 0.2500 0.0000  4 Ag 2.74-2.83, 4 Cl 2.98, 4 Ir 2.98
Ir 0.0000 0.0000 0.5000  2 Cl 2.74, 2 Ir 2.83, 8 Ag 2.98
Cl 0.0000 0.5000 0.5000  2 Ir 2.74, 2 Cl 2.83, 8 Ag 2.98



<d>
Below is Ag2IrCl after structural relaxation, with properties calculated at the GGA-PBE level.

Results
Crystal system: monoclinic

abc: 4.8216 2.9251 5.0630
angles: 90.00 105.27 90.00
With the nearest neighbours (Å) after each atom.
Space group P2/m (No. 10)
One atom of each set of equivalent atoms:
Ag 0.0000 0.0000 0.0000  6 Ag 2.82-2.93, 4 Ir 2.92, 2 Cl 3.00
Ag 0.5000 0.5000 0.0000  6 Ag 2.82-2.93, 4 Cl 2.92, 2 Ir 3.00
Ir 0.0000 0.5000 0.5000  4 Cl 2.82, 6 Ag 2.92-3.00, 2 Ir 2.93
Cl 0.5000 0.0000 0.5000  4 Ir 2.82, 6 Ag 2.92-3.00, 2 Cl 2.93



Which of them is least stable? Easy: <d>.



<a>
Below is Ag2IrCl after structural relaxation, with properties calculated at the GGA-PBE level.

Results
Crystal system: monoclinic

abc: 2.9329 2.9489 8.5183
angles: 90.00 90.64 90.00
With the nearest neighbours (Å) after each atom.
Space group Pm (No. 6)
One atom of each set of equivalent atoms:
Ag 0.0000 0.0000 0.0000  8 Ag 2.91-2.95, 2 Cl 3.05
Ag 0.4920 0.5000 0.7607  4 Ir 2.87, 8 Ag 2.91-2.95
Ir 0.9844 0.0000 0.5281  2 Cl 2.35
Cl 0.9769 0.5000 0.3131  2 Ir 2.35



<b>
Below is Ag2IrCl after structural relaxation, with properties calculated at the GGA-PBE level.

Results
Crystal system: tetragonal

abc: 2.9757 2.9757 7.9562
angles: 90.00 90.00 90.00
With the nearest neighbours (Å) after each atom.
Space group P4/mmm (No. 123)
One atom of each set of equivalent atoms:
Ag 0.0000 0.0000 0.2447  4 Ir 2.87, 4 Cl 2.92, 4 Ag 2.98
Ir 0.5000 0.5000 0.0000  8 Ag 2.87, 4 Ir 2.98
Cl 0.5000 0.5000 0.5000  8 Ag 2.92, 4 Cl 2.98



Which of them is least stable? Easy: <b>.



<a>
Below is Ag2IrCl6 after structural relaxation, with properties calculated at the GGA-PBE level.

Results
Crystal system: tetragonal

abc: 6.0804 6.0804 11.7290
angles: 90.00 90.00 90.00
With the nearest neighbours (Å) after each atom.
Space group P4_2/mnm (No. 136)
One atom of each set of equivalent atoms:
Ag 0.0000 0.0000 0.1626  6 Cl 2.71-2.73
Ir 0.0000 0.0000 0.5000  6 Cl 2.35-2.36
Cl 0.1853 0.1853 0.3517  1 Ir 2.36
Cl 0.2269 0.2269 0.0000  1 Ir 2.35



<b>
Below is Ag2IrCl6 after structural relaxation, with properties calculated at the GGA-PBE level.

Results
Crystal system: monoclinic

abc: 6.6707 6.3546 12.4268
angles: 90.00 122.01 90.00
With the nearest neighbours (Å) after each atom.
Space group P2_1/c (No. 14)
One atom of each set of equivalent atoms:
Ag 0.2162 0.0373 0.1989  5 Cl 2.62-2.75
Ir 0.5000 0.0000 0.0000  6 Cl 2.34-2.36
Cl 0.1739 0.1362 0.8144  1 Ir 2.34
Cl 0.2368 0.7020 0.5279  1 Ir 2.34
Cl 0.4584 0.2309 0.6172  1 Ir 2.36



Which of them is least stable? Easy: <a>.